# 1
Below is a geometry-optimized La5Pr12Nd2 structure, with properties calculated at the PBE level.

extended XYZ file:
```
19
Lattice="7.304 0.000 0.000 -3.652 8.817 3.468 0.000 -0.204 10.730" Properties=species:S:1:pos:R:3 pbc="T T T"
Pr 0.000 8.632 10.658
Pr -1.801 5.778 7.988
Pr 1.801 5.778 7.988
Pr 1.854 5.820 11.726
Pr 0.000 0.339 8.298
Pr 1.799 2.792 2.471
Pr 3.652 8.273 5.900
Pr -1.854 5.820 11.726
Pr 3.652 -0.019 3.540
Pr 1.851 2.835 6.210
Pr 5.506 2.792 2.471
Pr 5.453 2.835 6.210
Nd 2.046 0.000 0.000
Nd 5.258 0.000 0.000
La 0.000 3.149 9.979
La 3.652 5.464 4.219
La 3.652 2.898 9.618
La 0.000 -0.102 5.365
La 0.000 5.714 4.580
```

Computed properties:
E_form = 0.14 eV/atom
space-group type = No. 12
polymorph energy (0 for the lowest one) = 46 meV/atom

# 2
Below is a geometry-optimized LaPm2Y2Er2 structure, with properties calculated at the PBE level.

extended XYZ file:
```
7
Lattice="-2.719 -0.103 2.256 1.142 -5.824 -1.659 7.052 -4.769 8.281" Properties=species:S:1:pos:R:3 pbc="T T T"
Pm 0.454 -4.249 0.353
Pm 5.021 -6.447 8.525
Er 1.071 -5.002 3.831
Er 4.404 -5.694 5.047
La 3.526 -2.384 4.140
Y 0.212 -1.706 2.946
Y 5.264 -8.990 5.932
```

Computed properties:
E_form = 0.09 eV/atom
space-group type = No. 12

no.,total energy (eV/atom)
1,-4.674
2,-5.119